A plane-wave DFT calculation with PBE with a Hubbard U was carried out for NpCrAg2O6 after structural relaxation.

Summary:
As for the crystal system: tetragonal. Its uncorrected energy is -7.077 eV per atom. The calculation puts the density of states at the Fermi level at 3.71 states/eV per cell.

a = 5.6262 Å, b = 5.6262 Å, c = 4.1668 Å
α = 90.00°, β = 90.00°, γ = 90.00°
Space group P4/mmm (No. 123)
Inequivalent atoms, fractional coordinates:
Np 0.0000 0.0000 0.0000 x1
Cr 0.5000 0.5000 0.0000 x1
Ag 0.0000 0.5000 0.5000 x2
O 0.0000 0.0000 0.5000 x1
O 0.2498 0.2498 0.0000 x4
O 0.5000 0.5000 0.5000 x1